# 1
Below is crystalline Sr2SiTe at its relaxed geometry, with properties calculated at the GGA-PBE level.

* space-group type: Fm-3m
* D(E_F): 18.35 states/eV/cell
* energy relative to the lowest polymorph listed for this composition: 0.1252 eV/atom

Cell and atoms, written as extended XYZ:
```
16
Lattice="7.943 0.000 0.000 0.000 7.943 0.000 0.000 0.000 7.943" Properties=species:S:1:pos:R:3 pbc="T T T"
Sr 1.986 1.986 1.986
Sr 1.986 1.986 5.957
Sr 1.986 5.957 1.986
Sr 1.986 5.957 5.957
Sr 5.957 1.986 1.986
Sr 5.957 1.986 5.957
Sr 5.957 5.957 1.986
Sr 5.957 5.957 5.957
Si 0.000 0.000 0.000
Si 0.000 3.971 3.971
Si 3.971 0.000 3.971
Si 3.971 3.971 0.000
Te 0.000 0.000 3.971
Te 0.000 3.971 0.000
Te 3.971 0.000 0.000
Te 3.971 3.971 3.971
```

# 2
Below is crystalline SrSiTe3 at its relaxed geometry, with properties calculated at the GGA-PBE level.

* space-group type: Pm-3m
* D(E_F): 7.57 states/eV/cell
* energy relative to the lowest polymorph listed for this composition: 1.3331 eV/atom

Cell and atoms, written as extended XYZ:
```
5
Lattice="6.104 0.000 0.000 0.000 6.104 0.000 0.000 0.000 6.104" Properties=species:S:1:pos:R:3 pbc="T T T"
Sr 0.000 0.000 0.000
Si 3.052 3.052 3.052
Te 0.000 0.000 3.052
Te 0.000 3.052 0.000
Te 3.052 0.000 0.000
```

# 3
Below is crystalline Sr2SiTe at its relaxed geometry, with properties calculated at the GGA-PBE level.

* space-group type: R-3m
* D(E_F): 9.26 states/eV/cell
* energy relative to the lowest polymorph listed for this composition: 0.0078 eV/atom

Cell and atoms, written as extended XYZ:
```
12
Lattice="4.395 0.000 0.000 -2.198 3.806 0.000 0.000 0.000 25.520" Properties=species:S:1:pos:R:3 pbc="T T T"
Sr 0.000 0.000 6.326
Sr 0.000 0.000 19.194
Sr 0.000 2.538 10.687
Sr 0.000 2.538 23.340
Sr 2.198 1.269 2.180
Sr 2.198 1.269 14.833
Si 0.000 0.000 0.000
Si 0.000 2.538 17.013
Si 2.198 1.269 8.507
Te 0.000 0.000 12.760
Te 0.000 2.538 4.253
Te 2.198 1.269 21.267
```

# 4
Below is crystalline Sr2SiTe at its relaxed geometry, with properties calculated at the GGA-PBE level.

* space-group type: Pmmm
* D(E_F): 3.27 states/eV/cell
* energy relative to the lowest polymorph listed for this composition: 0.0506 eV/atom

Cell and atoms, written as extended XYZ:
```
4
Lattice="3.921 0.000 0.000 0.000 5.641 0.000 0.000 0.000 5.659" Properties=species:S:1:pos:R:3 pbc="T T T"
Sr 0.000 0.000 0.000
Sr 0.000 2.820 2.829
Si 1.960 0.000 2.829
Te 1.960 2.820 0.000
```

# 5
Below is crystalline SrSi2Te at its relaxed geometry, with properties calculated at the GGA-PBE level.

* space-group type: Cm
* D(E_F): 2.28 states/eV/cell

Cell and atoms, written as extended XYZ:
```
8
Lattice="10.356 0.000 0.000 0.000 3.918 0.000 -2.466 0.000 5.200" Properties=species:S:1:pos:R:3 pbc="T T T"
Sr 0.000 0.000 0.000
Sr 5.178 1.959 0.000
Si -0.563 1.959 2.615
Si 0.675 0.000 3.496
Si 4.615 0.000 2.615
Si 5.853 1.959 3.496
Te 2.174 1.959 1.893
Te 7.352 0.000 1.893
```

# 6
Below is crystalline Sr2SiTe at its relaxed geometry, with properties calculated at the GGA-PBE level.

* space-group type: C2/m
* D(E_F): 2.26 states/eV/cell
* energy relative to the lowest polymorph listed for this composition: 0.0275 eV/atom

Cell and atoms, written as extended XYZ:
```
8
Lattice="7.364 0.000 0.000 0.000 8.565 0.000 -0.009 0.000 3.917" Properties=species:S:1:pos:R:3 pbc="T T T"
Sr 1.841 2.141 0.000
Sr 1.841 6.424 0.000
Sr 5.523 2.141 0.000
Sr 5.523 6.424 0.000
Si -0.004 0.000 1.959
Si 3.678 4.282 1.959
Te -0.004 4.282 1.959
Te 3.678 0.000 1.959
```

# 7
Below is crystalline SrSi2Te at its relaxed geometry, with properties calculated at the GGA-PBE level.

* space-group type: I-42d
* D(E_F): 5.96 states/eV/cell

Cell and atoms, written as extended XYZ:
```
16
Lattice="7.737 0.000 0.000 0.000 7.737 0.000 0.000 0.000 7.903" Properties=species:S:1:pos:R:3 pbc="T T T"
Sr 0.000 0.000 0.000
Sr 0.000 3.868 1.976
Sr 3.868 0.000 5.927
Sr 3.868 3.868 3.952
Si 1.474 1.934 4.939
Si 1.934 5.342 6.915
Si 1.934 6.263 2.964
Si 2.395 1.934 0.988
Si 5.342 5.803 0.988
Si 5.803 1.474 2.964
Si 5.803 2.395 6.915
Si 6.263 5.803 4.939
Te 0.000 0.000 3.952
Te 0.000 3.868 5.927
Te 3.868 0.000 1.976
Te 3.868 3.868 0.000
```

# 8
Below is crystalline SrSi2Te2 at its relaxed geometry, with properties calculated at the GGA-PBE level.

* space-group type: I4/mmm
* D(E_F): 2.98 states/eV/cell

Cell and atoms, written as extended XYZ:
```
10
Lattice="5.720 0.000 0.000 0.000 5.720 0.000 0.000 0.000 8.596" Properties=species:S:1:pos:R:3 pbc="T T T"
Sr 0.000 0.000 0.000
Sr 2.860 2.860 4.298
Si 0.000 0.000 3.037
Si 0.000 0.000 5.559
Si 2.860 2.860 1.261
Si 2.860 2.860 7.335
Te 0.000 2.860 2.149
Te 0.000 2.860 6.447
Te 2.860 0.000 2.149
Te 2.860 0.000 6.447
```

# 9
Below is crystalline SrSi2Te at its relaxed geometry, with properties calculated at the GGA-PBE level.

* space-group type: F-43m
* D(E_F): 7.31 states/eV/cell

Cell and atoms, written as extended XYZ:
```
16
Lattice="7.419 0.000 0.000 0.000 7.419 0.000 0.000 0.000 7.419" Properties=species:S:1:pos:R:3 pbc="T T T"
Sr 0.000 0.000 0.000
Sr 0.000 3.710 3.710
Sr 3.710 0.000 3.710
Sr 3.710 3.710 0.000
Si 0.000 0.000 3.710
Si 0.000 3.710 0.000
Si 1.855 1.855 1.855
Si 1.855 5.565 5.565
Si 3.710 0.000 0.000
Si 3.710 3.710 3.710
Si 5.565 1.855 5.565
Si 5.565 5.565 1.855
Te 1.855 1.855 5.565
Te 1.855 5.565 1.855
Te 5.565 1.855 1.855
Te 5.565 5.565 5.565
```

# 10
Below is crystalline Sr4SiTe6 at its relaxed geometry, with properties calculated at the GGA-PBE level.

* space-group type: Cc

Cell and atoms, written as extended XYZ:
```
22
Lattice="7.854 -4.175 0.000 7.854 4.175 0.000 -5.767 0.000 14.460" Properties=species:S:1:pos:R:3 pbc="T T T"
Sr 4.971 3.111 7.230
Sr 5.472 1.059 0.799
Sr 4.234 1.541 11.960
Sr 2.588 -1.059 8.029
Sr 10.458 1.610 2.639
Sr 7.118 -1.541 4.730
Sr 7.854 -3.111 0.000
Sr 7.575 -1.610 9.869
Si 3.067 1.904 4.038
Si 0.183 -1.904 11.268
Te 2.749 1.936 9.167
Te -1.272 0.044 12.011
Te 1.611 -0.044 4.781
Te 5.597 1.714 4.295
Te 8.439 2.111 0.215
Te 7.573 1.666 8.826
Te 5.633 -1.936 1.937
Te 2.714 -1.714 11.526
Te 7.219 0.220 12.586
Te 5.555 -2.111 7.445
Te 10.103 -0.220 5.356
Te 10.457 -1.666 1.595
```

# 11
Below is crystalline Sr3Si5Te12 at its relaxed geometry, with properties calculated at the GGA-PBE level.

* space-group type: Ia-3d
* D(E_F): 39.11 states/eV/cell

Cell and atoms, written as extended XYZ:
```
80
Lattice="-8.709 8.709 8.709 8.709 -8.709 8.709 8.709 8.709 -8.709" Properties=species:S:1:pos:R:3 pbc="T T T"
Sr 4.354 2.177 0.000
Sr 8.709 4.354 -2.177
Sr 2.177 0.000 4.354
Sr 10.886 0.000 4.354
Sr 0.000 4.354 2.177
Sr 4.354 -2.177 8.709
Sr 4.354 10.886 0.000
Sr 8.709 4.354 6.531
Sr -2.177 8.709 4.354
Sr 6.531 8.709 4.354
Sr 0.000 4.354 10.886
Sr 4.354 6.531 8.709
Si 0.000 0.000 0.000
Si 4.354 4.354 -4.354
Si 4.354 -4.354 4.354
Si 8.709 0.000 0.000
Si 13.063 2.177 0.000
Si 8.709 -4.354 6.531
Si 6.531 8.709 -4.354
Si 6.531 0.000 4.354
Si 4.354 6.531 0.000
Si 8.709 4.354 2.177
Si -4.354 4.354 4.354
Si 0.000 8.709 0.000
Si 0.000 0.000 8.709
Si 4.354 4.354 4.354
Si 0.000 4.354 6.531
Si 4.354 2.177 8.709
Si 2.177 8.709 4.354
Si 2.177 0.000 13.063
Si 0.000 13.063 2.177
Si -4.354 6.531 8.709
Te 2.594 -0.553 0.965
Te 10.469 5.320 -4.907
Te 11.303 0.553 0.965
Te 10.469 -3.389 4.907
Te 8.156 -0.965 2.594
Te 13.616 -1.760 3.389
Te 0.965 2.594 -0.553
Te 12.098 3.802 -1.760
Te 5.320 4.907 -1.760
Te 7.743 2.594 0.553
Te -0.553 0.965 2.594
Te 4.907 -1.760 5.320
Te 8.156 7.743 -2.594
Te 4.907 1.760 3.389
Te 5.320 -4.907 10.469
Te 7.743 -2.594 8.156
Te 3.389 4.907 1.760
Te 9.674 6.114 0.553
Te 4.907 10.469 -3.389
Te 8.156 0.965 6.114
Te 2.594 8.156 -0.965
Te 10.469 3.389 3.802
Te 1.760 3.389 4.907
Te 2.594 0.553 7.743
Te 6.114 8.156 0.965
Te 6.949 5.320 3.802
Te -1.760 5.320 4.907
Te 6.114 0.553 9.674
Te 0.553 7.743 2.594
Te 3.802 -1.760 12.098
Te -0.965 2.594 8.156
Te 5.320 3.802 6.949
Te 0.965 11.303 0.553
Te 3.389 13.616 -1.760
Te 3.802 6.949 5.320
Te 0.553 0.965 11.303
Te 3.802 10.469 3.389
Te 9.261 7.743 6.114
Te 0.965 6.114 8.156
Te 3.389 3.802 10.469
Te -3.389 4.907 10.469
Te 7.743 6.114 9.261
Te -4.907 10.469 5.320
Te 0.553 9.674 6.114
Te -1.760 12.098 3.802
Te -2.594 8.156 7.743
Te -1.760 3.389 13.616
Te 6.114 9.261 7.743
```

# 12
Below is crystalline SrTh2Si6 at its relaxed geometry, with properties calculated at the GGA-PBE level.

* space-group type: P6/mmm
* D(E_F): 4.73 states/eV/cell

Cell and atoms, written as extended XYZ:
```
9
Lattice="7.178 0.000 0.000 -3.589 6.216 0.000 0.000 0.000 4.251" Properties=species:S:1:pos:R:3 pbc="T T T"
Sr 0.000 0.000 0.000
Th 0.000 4.144 0.000
Th 3.589 2.072 0.000
Si -1.208 2.092 2.125
Si -2.381 4.124 2.125
Si 2.416 0.000 2.125
Si 1.208 2.092 2.125
Si 4.762 0.000 2.125
Si 2.381 4.124 2.125
```

Number 1: total DFT energy (no corrections) -57.29 eV/cell, raw formation energy -0.60 eV per atom. Number 2: total DFT energy (no corrections) -13.08 eV/cell, raw formation energy 0.69 eV per atom. Number 3: total DFT energy (no corrections) -44.37 eV/cell, raw formation energy -0.72 eV per atom. Number 4: total DFT energy (no corrections) -14.62 eV/cell, raw formation energy -0.67 eV per atom. Number 5: total DFT energy (no corrections) -32.55 eV/cell, raw formation energy -0.15 eV per atom. Number 6: total DFT energy (no corrections) -29.42 eV/cell, raw formation energy -0.70 eV per atom. Number 7: total DFT energy (no corrections) -58.99 eV/cell, raw formation energy 0.23 eV per atom. Number 8: total DFT energy (no corrections) -39.92 eV/cell, raw formation energy -0.23 eV per atom. Number 9: total DFT energy (no corrections) -59.93 eV/cell, raw formation energy 0.17 eV per atom. Number 10: total DFT energy (no corrections) -87.29 eV/cell, raw formation energy -1.15 eV per atom. Number 11: total DFT energy (no corrections) -313.39 eV/cell, raw formation energy -0.42 eV per atom. Number 12: total DFT energy (no corrections) -53.57 eV/cell, raw formation energy -0.50 eV per atom.